No. 1
Crystalline Tb4Er10Sc at its relaxed geometry, computed with PBE.

The space group is I4/mmm (No. 139) and the conventional cell measures 11.2226, 11.2226 and 7.5631 Å, with angles of 90.00, 90.00 and 90.00 degrees. The inequivalent atoms are Tb at (0.2330, 0.2330, 0.0000), Er at (0.0000, 0.2082, 0.2845), Er at (0.0000, 0.5000, 0.2500) and Sc at (0.0000, 0.0000, 0.0000).

The formation energy comes out at 5.90 kcal/mol of atoms. The final energy is -4.44 eV per atom.

No. 2
Crystalline Sr5Hg3 at its relaxed geometry, computed with PBE.

The space group is I4/mcm (No. 140) and the conventional cell measures 13.1023, 13.1023 and 7.0915 Å, with angles of 90.00, 90.00 and 90.00 degrees. The inequivalent atoms are Sr at (0.0000, 0.5000, 0.2500), Sr at (0.0806, 0.2093, 0.0000), Hg at (0.0000, 0.0000, 0.2500) and Hg at (0.1584, 0.3416, 0.5000).

The formation energy comes out at -8.75 kcal/mol of atoms. The final energy is -1.54 eV per atom. As for the energy above the lowest structure with this stoichiometry: 0.043 eV/atom.